Run P
Here is an optimized crystal structure of Ta2PtBr from the Alexandria database. Energies are from PBE.

**Theoretical density**: 14.42 g/cm3

Cell: 2.935 4.152 6.019 Å, 90.00 90.00 90.00°
Space group Pmmm (No. 47)
Symmetry-distinct sites (fractional):
Ta 0.000 0.000 0.232 [2 per cell]
Pt 0.500 0.500 0.000 [1 per cell]
Br 0.000 0.500 0.500 [1 per cell]

---

Run Q
Here is an optimized crystal structure of Ta2PtBr from the Alexandria database. Energies are from PBE.

**Theoretical density**: 14.85 g/cm3

Cell: 5.996 8.356 2.939 Å, 90.00 104.75 90.00°
Space group C2/m (No. 12)
Symmetry-distinct sites (fractional):
Ta 0.250 0.250 0.000 [4 per cell]
Pt 0.000 0.000 0.500 [2 per cell]
Br 0.000 0.500 0.500 [2 per cell]

---

The least stable of them is run Q.

---

Run P
Here is an optimized crystal structure of ZnMo2As from the Alexandria database. Energies are from PBE.

**Theoretical density**: 9.08 g/cm3

Cell: 5.637 6.509 3.310 Å, 90.00 90.00 90.00°
Space group Cmmm (No. 65)
Symmetry-distinct sites (fractional):
Zn 0.000 0.000 0.000 [2 per cell]
Mo 0.250 0.250 0.500 [4 per cell]
As 0.000 0.500 0.000 [2 per cell]

---

Run Q
Here is an optimized crystal structure of ZnMo2As from the Alexandria database. Energies are from PBE.

**Theoretical density**: 8.58 g/cm3

Cell: 2.926 4.519 5.079 Å, 90.00 106.71 90.00°
Space group Pm (No. 6)
Symmetry-distinct sites (fractional):
Zn 0.000 0.000 0.000 [1 per cell]
Mo 0.354 0.500 0.714 [1 per cell]
Mo 0.740 0.000 0.477 [1 per cell]
As 0.629 0.500 0.259 [1 per cell]

---

The least stable of them is run P.